# DyPuAsS (PBE, relaxed)
data_DyPuAsS
_chemical_formula_sum 'Dy1 Pu1 As1 S1'
_cell_length_a 6.940
_cell_length_b 6.940
_cell_length_c 6.940
_cell_angle_alpha 34.00
_cell_angle_beta 34.00
_cell_angle_gamma 34.00
_space_group_name_H-M_alt 'P 1'
_space_group_IT_number 1
loop_
_space_group_symop_operation_xyz
'x,y,z'
loop_
_atom_site_label
_atom_site_type_symbol
_atom_site_fract_x
_atom_site_fract_y
_atom_site_fract_z
_atom_site_occupancy
Dy1 Dy 0.000 0.000 0.000 1
Pu1 Pu 0.504 0.504 0.504 1
As1 As 0.751 0.751 0.751 1
S1 S 0.252 0.252 0.252 1
# Uncorrected formation energy = -1.612 eV/atom
# Size of the total moment = 5.48 μB/cell
# Theoretical density = 9.15 g/cm3
# SG = R3m